(1)
Li3InAg3 | PBE | relaxed

Summary:
energy relative to the elements: -0.168 eV/atom
magnetic moment: 0.00 μB per cell
crystal system: orthorhombic

abc: 9.1111 9.3571 5.9914
angles: 90.00 90.00 90.00
Closest atoms and distances in Å follow each position.
Space group Cmmm (No. 65)
Asymmetric unit:
Li  0.0000  0.2192  0.0000 [4 per cell]  6 Ag 2.71-3.02, 2 Li 3.01
Li  0.0000  0.2550  0.5000 [4 per cell]  6 Ag 2.75-2.76, 2 In 2.96, 2 Li 3.01
Li  0.2473  0.0000  0.0000 [4 per cell]  6 Ag 2.74-2.75, 2 In 3.04, 2 Li 3.05
In  0.1930  0.0000  0.5000 [4 per cell]  6 Ag 2.86-3.18, 4 Li 2.96-3.04
Ag  0.0000  0.5000  0.2470 [4 per cell]  6 Li 2.74-3.02, 2 Ag 2.96-3.03
Ag  0.2500  0.2500  0.2400 [8 per cell]  6 Li 2.71-2.76, 2 In 2.86, 1 Ag 2.88

=====

(2)
Li2In4Ag5 | PBE | relaxed

Summary:
energy relative to the elements: -0.094 eV/atom
magnetic moment: 0.00 μB per cell
crystal system: triclinic

abc: 3.2307 7.5093 9.2378
angles: 89.94 80.11 89.89
Closest atoms and distances in Å follow each position.
Space group P-1 (No. 2)
Asymmetric unit:
Li  0.0656  0.1331  0.3712 [2 per cell]  5 Ag 2.77-3.00, 4 In 2.99-3.09, 1 Li 3.08
In  0.2582  0.3117  0.9805 [2 per cell]  6 Ag 2.88-2.99, 1 In 3.19
In  0.4320  0.2161  0.6394 [2 per cell]  4 Ag 2.85-2.99, 4 Li 2.99-3.09, 1 In 3.19
Ag  0.0000  0.5000  0.5000 [1 per cell]  6 Ag 2.91-3.23, 4 In 2.96, 2 Li 3.00
Ag  0.3175  0.9543  0.8656 [2 per cell]  2 Li 2.77, 4 In 2.85-2.93, 3 Ag 2.92-3.02
Ag  0.3725  0.5887  0.7554 [2 per cell]  2 Li 2.88, 3 Ag 2.91-2.92, 4 In 2.92-2.99

=====

(3)
LiIn2Ag6 | PBE | relaxed

Summary:
energy relative to the elements: -0.051 eV/atom
magnetic moment: 0.00 μB per cell
crystal system: monoclinic

abc: 14.1023 9.8301 4.9092
angles: 90.00 97.59 90.00
Closest atoms and distances in Å follow each position.
Space group C2/c (No. 15)
Asymmetric unit:
Li  0.0000  0.1312  0.2500 [4 per cell]  8 Ag 2.76-2.90
In  0.1618  0.3634  0.0799 [8 per cell]  9 Ag 2.84-3.02
Ag  0.0540  0.3705  0.5289 [8 per cell]  1 Li 2.78, 5 Ag 2.81-3.10, 4 In 2.84-3.02
Ag  0.1023  0.1091  0.8004 [8 per cell]  3 Li 2.76-2.90, 5 Ag 2.81-3.09, 1 In 2.92
Ag  0.2247  0.1173  0.3703 [8 per cell]  5 Ag 2.81-3.10, 4 In 2.89-2.96

=====

(4)
Li2InAg2 | PBE | relaxed

Summary:
energy relative to the elements: -0.168 eV/atom
magnetic moment: 0.00 μB per cell
crystal system: orthorhombic

abc: 4.5328 6.2432 6.4222
angles: 90.00 90.00 90.00
Closest atoms and distances in Å follow each position.
Space group Immm (No. 71)
Asymmetric unit:
Li  0.0000  0.0000  0.1942 [4 per cell]  1 Li 2.49, 2 Ag 2.64
In  0.0000  0.5000  0.0000 [2 per cell]  4 Ag 2.87, 4 Li 3.00
Ag  0.0000  0.2831  0.5000 [4 per cell]  6 Li 2.64-2.92, 1 Ag 2.71, 2 In 2.87

=====

(5)
LiIn3Ag2 | PBE | relaxed

Summary:
energy relative to the elements: -0.097 eV/atom
magnetic moment: 0.00 μB per cell
crystal system: orthorhombic

abc: 4.3515 13.1008 4.3746
angles: 90.00 90.00 90.00
Closest atoms and distances in Å follow each position.
Space group Cmmm (No. 65)
Asymmetric unit:
Li  0.0000  0.0000  0.0000 [2 per cell]  4 Ag 3.07, 8 In 3.08-3.09
In  0.0000  0.3332  0.0000 [4 per cell]  4 In 3.08-3.09, 2 Li 3.08, 6 Ag 3.09-3.11
In  0.0000  0.5000  0.5000 [2 per cell]  4 Ag 3.06, 4 Li 3.09, 4 In 3.09
Ag  0.0000  0.1647  0.5000 [4 per cell]  8 In 3.06-3.11, 2 Li 3.07, 2 Ag 3.12

=====

(6)
Li2InAg | PBE | relaxed

Summary:
energy relative to the elements: -0.279 eV/atom
magnetic moment: 0.00 μB per cell
crystal system: cubic

abc: 6.5959 6.5959 6.5959
angles: 90.00 90.00 90.00
Closest atoms and distances in Å follow each position.
Space group F-43m (No. 216)
Asymmetric unit:
Li  0.0000  0.0000  0.0000 [4 per cell]  4 Li 2.86, 4 Ag 2.86
Li  0.2500  0.2500  0.2500 [4 per cell]  4 In 2.86, 4 Li 2.86
In  0.0000  0.0000  0.5000 [4 per cell]  4 Li 2.86, 4 Ag 2.86
Ag  0.2500  0.2500  0.7500 [4 per cell]  4 In 2.86, 4 Li 2.86

=====

(7)
LiIn5Ag8 | PBE | relaxed

Summary:
energy relative to the elements: 0.017 eV/atom
magnetic moment: 0.00 μB per cell
crystal system: tetragonal

abc: 7.8545 7.8545 9.5741
angles: 90.00 90.00 90.00
Closest atoms and distances in Å follow each position.
Space group I-4 (No. 82)
Asymmetric unit:
Li  0.0000  0.0000  0.0000 [2 per cell]  8 Ag 2.81-2.91
In  0.0000  0.5000  0.2500 [2 per cell]  4 Ag 2.75
In  0.1464  0.7664  0.5565 [8 per cell]  7 Ag 2.86-3.06
Ag  0.0760  0.8416  0.2557 [8 per cell]  4 In 2.75-3.03, 3 Ag 2.76-2.90, 1 Li 2.81
Ag  0.0815  0.6809  0.8598 [8 per cell]  4 In 2.86-3.06, 5 Ag 2.87-3.12, 1 Li 2.91

=====

(8)
Li7InAg3 | PBE | relaxed

Summary:
energy relative to the elements: -0.150 eV/atom
magnetic moment: 0.00 μB per cell
crystal system: orthorhombic

abc: 2.9278 20.8932 13.0297
angles: 90.00 90.00 90.00
Closest atoms and distances in Å follow each position.
Space group Cmcm (No. 63)
Asymmetric unit:
Li  0.0000  0.0466  0.0734 [8 per cell]  2 Ag 2.67, 5 Li 2.73-2.97, 2 In 2.81
Li  0.0000  0.0907  0.6328 [8 per cell]  4 Ag 2.78-2.91, 6 Li 2.84-3.05, 2 In 3.05
Li  0.0000  0.1539  0.2500 [4 per cell]  4 Li 2.93-3.21, 4 Ag 3.17, 2 In 3.26
Li  0.0000  0.2306  0.5997 [8 per cell]  5 Ag 2.62-2.83, 2 Li 2.93
In  0.0000  0.4857  0.7500 [4 per cell]  8 Li 2.81-3.05, 2 In 2.93
Ag  0.0000  0.3228  0.2500 [4 per cell]  8 Li 2.69-2.78, 2 Ag 2.93
Ag  0.0000  0.3493  0.5345 [8 per cell]  7 Li 2.62-2.91, 2 Ag 2.93

=====

(9)
Li6InAg8 | PBE | relaxed

Summary:
energy relative to the elements: -0.036 eV/atom
magnetic moment: 0.00 μB per cell
crystal system: trigonal

abc: 7.5731 7.5731 16.3417
angles: 90.00 90.00 120.00
Closest atoms and distances in Å follow each position.
Space group R-3 (No. 148, hexagonal axes)
Asymmetric unit:
Li  0.0052  0.6557  0.0574 [18 per cell]  7 Ag 2.65-2.80, 1 In 2.79
In  0.0000  0.0000  0.0000 [3 per cell]  6 Li 2.79, 6 Ag 3.07
Ag  0.0000  0.0000  0.3281 [6 per cell]  6 Li 2.65
Ag  0.0007  0.6771  0.8864 [18 per cell]  5 Li 2.66-2.80

=====

(10)
Li2InAg | PBE | relaxed

Summary:
energy relative to the elements: -0.131 eV/atom
magnetic moment: 0.00 μB per cell
crystal system: trigonal

abc: 3.1292 3.1292 26.8827
angles: 90.00 90.00 120.00
Closest atoms and distances in Å follow each position.
Space group R3m (No. 160, hexagonal axes)
Asymmetric unit:
Li  0.0000  0.0000  0.0000 [3 per cell]  3 Ag 2.79, 3 In 2.98
Li  0.0000  0.0000  0.1753 [3 per cell]  3 Ag 2.78, 3 In 2.96
In  0.0000  0.0000  0.4213 [3 per cell]  6 Li 2.96-2.98, 6 In 3.13
Ag  0.0000  0.0000  0.5874 [3 per cell]  6 Li 2.78-2.79

=====

(11)
Li6In5Ag | PBE | relaxed

Summary:
energy relative to the elements: -0.277 eV/atom
magnetic moment: 0.00 μB per cell
crystal system: orthorhombic

abc: 4.8103 14.3744 6.5178
angles: 90.00 90.00 90.00
Closest atoms and distances in Å follow each position.
Space group Cmmm (No. 65)
Asymmetric unit:
Li  0.0000  0.0000  0.2372 [4 per cell]  2 Ag 2.86, 6 In 2.87-2.95, 1 Li 3.09
Li  0.0000  0.3387  0.2449 [8 per cell]  1 Ag 2.82, 7 In 2.85-2.98
In  0.0000  0.1668  0.5000 [4 per cell]  8 Li 2.93-2.98, 2 In 3.26
In  0.0000  0.1685  0.0000 [4 per cell]  8 Li 2.87-2.92
In  0.0000  0.5000  0.5000 [2 per cell]  8 Li 2.85-2.95
Ag  0.0000  0.5000  0.0000 [2 per cell]  8 Li 2.82-2.86

=====

(12)
Li2In2Ag | PBE | relaxed

Summary:
energy relative to the elements: -0.131 eV/atom
magnetic moment: 0.00 μB per cell
crystal system: tetragonal

abc: 7.2555 7.2555 3.6384
angles: 90.00 90.00 90.00
Closest atoms and distances in Å follow each position.
Space group P4/mbm (No. 127)
Asymmetric unit:
Li  0.1394  0.3606  0.0000 [4 per cell]  6 In 2.74-2.85, 2 Ag 2.81, 1 Li 2.86
In  0.1615  0.6615  0.5000 [4 per cell]  6 Li 2.74-2.85
Ag  0.0000  0.0000  0.0000 [2 per cell]  4 Li 2.81

=====

(13)
Li3In5Ag | PBE | relaxed

Summary:
energy relative to the elements: -0.069 eV/atom
magnetic moment: 0.00 μB per cell
crystal system: tetragonal

abc: 8.3507 8.3507 11.7733
angles: 90.00 90.00 90.00
Closest atoms and distances in Å follow each position.
Space group I4/mcm (No. 140)
Asymmetric unit:
Li  0.0000  0.0000  0.2500 [4 per cell]  2 In 2.94
Li  0.1042  0.3958  0.0000 [8 per cell]  1 Li 2.46
In  0.0000  0.0000  0.0000 [4 per cell]  2 Li 2.94
In  0.2018  0.2982  0.3691 [16 per cell]  3 Li 2.76-3.09, 1 Ag 2.76, 2 In 3.03-3.08
Ag  0.0000  0.5000  0.2500 [4 per cell]  4 In 2.76

=====

(14)
Li2In2Ag5 | PBE | relaxed

Summary:
energy relative to the elements: -0.128 eV/atom
magnetic moment: 0.00 μB per cell
crystal system: triclinic

abc: 4.6844 5.4664 7.3391
angles: 69.11 71.56 89.89
Closest atoms and distances in Å follow each position.
Space group P-1 (No. 2)
Asymmetric unit:
Li  0.0594  0.2726  0.3802 [2 per cell]  6 Ag 2.66-2.92, 1 Li 2.82, 1 In 2.92
In  0.2801  0.3534  0.9405 [2 per cell]  5 Ag 2.86-2.91, 1 Li 2.92, 2 In 3.12
Ag  0.1400  0.8103  0.2186 [2 per cell]  2 Li 2.66-2.72, 2 Ag 2.86, 3 In 2.87-2.88
Ag  0.3894  0.9239  0.7232 [2 per cell]  2 Li 2.78, 4 Ag 2.86-2.94, 1 In 2.91
Ag  0.5000  0.5000  0.5000 [1 per cell]  2 In 2.86, 4 Li 2.91-2.92, 6 Ag 2.94-3.12

=====

(15)
Li2InAg | PBE | relaxed

Summary:
energy relative to the elements: -0.246 eV/atom
magnetic moment: 0.00 μB per cell
crystal system: monoclinic

abc: 3.2161 3.6616 6.0233
angles: 90.00 90.31 90.00
Closest atoms and distances in Å follow each position.
Space group P2/m (No. 10)
Asymmetric unit:
Li  0.0009  0.0000  0.2364 [2 per cell]  4 Ag 2.82-2.83, 1 Li 2.85, 4 In 2.90-2.91
In  0.5000  0.5000  0.5000 [1 per cell]  8 Li 2.90-2.91, 2 Ag 3.01, 2 In 3.22
Ag  0.5000  0.5000  0.0000 [1 per cell]  8 Li 2.82-2.83, 2 In 3.01

=====

(16)
Li4InAg3 | PBE | relaxed

Summary:
energy relative to the elements: -0.232 eV/atom
magnetic moment: 0.00 μB per cell
crystal system: orthorhombic

abc: 9.4971 5.9016 4.8171
angles: 90.00 90.00 90.00
Closest atoms and distances in Å follow each position.
Space group Pmma (No. 51)
Asymmetric unit:
Li  0.0000  0.2425  0.0000 [4 per cell]  6 Ag 2.80-2.85, 2 In 2.85, 4 Li 2.86-3.07
Li  0.2500  0.2436  0.4028 [4 per cell]  6 Ag 2.80-2.88, 2 In 2.85, 4 Li 2.87-3.07
In  0.0000  0.5000  0.5000 [2 per cell]  8 Li 2.85, 4 Ag 2.95-3.09
Ag  0.0000  0.0000  0.5000 [2 per cell]  8 Li 2.80-2.81, 2 In 2.95, 2 Ag 3.06
Ag  0.2500  0.0000  0.9020 [2 per cell]  8 Li 2.80-2.81, 4 Ag 2.95-3.06
Ag  0.2500  0.5000  0.9120 [2 per cell]  8 Li 2.81-2.88, 2 Ag 2.95, 2 In 3.09

=====

(17)
LiIn2Ag7 | PBE | relaxed

Summary:
energy relative to the elements: 0.169 eV/atom
magnetic moment: 0.00 μB per cell
crystal system: orthorhombic

abc: 7.6012 14.1758 4.4889
angles: 90.00 90.00 90.00
Closest atoms and distances in Å follow each position.
Space group Cmmm (No. 65)
Asymmetric unit:
Li  0.0000  0.0000  0.0000 [2 per cell]  2 Ag 2.64
In  0.0000  0.2995  0.5000 [4 per cell]  5 Ag 2.76-2.84
Ag  0.0000  0.1859  0.0000 [4 per cell]  1 Li 2.64, 2 In 2.76, 4 Ag 2.90
Ag  0.0000  0.5000  0.5000 [2 per cell]  4 Ag 2.81, 2 In 2.84
Ag  0.1811  0.1008  0.5000 [8 per cell]  5 Ag 2.75-2.90, 1 In 2.81, 2 Li 3.00

=====

(18)
Li2In2Ag7 | PBE | relaxed

Summary:
energy relative to the elements: -0.066 eV/atom
magnetic moment: 0.00 μB per cell
crystal system: monoclinic

abc: 9.7558 9.5015 5.0136
angles: 90.00 116.68 90.00
Closest atoms and distances in Å follow each position.
Space group C2/m (No. 12)
Asymmetric unit:
Li  0.2403  0.0000  0.4507 [4 per cell]  8 Ag 2.72-2.89
In  0.0000  0.2953  0.5000 [4 per cell]  10 Ag 2.85-3.17, 2 Li 3.11
Ag  0.0000  0.5000  0.0000 [2 per cell]  4 Ag 2.77, 2 Li 2.78
Ag  0.0906  0.0000  0.8213 [4 per cell]  3 Li 2.82-2.89, 4 Ag 2.90-3.03, 2 In 3.16
Ag  0.1732  0.2553  0.1751 [8 per cell]  2 Li 2.72-2.87, 5 Ag 2.77-3.03, 2 In 2.85-2.90

=====

(19)
LiInAg5 | PBE | relaxed

Summary:
energy relative to the elements: 0.018 eV/atom
magnetic moment: 0.00 μB per cell
crystal system: monoclinic

abc: 8.6284 9.6390 7.2026
angles: 90.00 116.70 90.00
Closest atoms and distances in Å follow each position.
Space group C2/c (No. 15)
Asymmetric unit:
Li  0.2500  0.2500  0.0000 [4 per cell]  6 Ag 2.57-2.88
In  0.0000  0.1867  0.2500 [4 per cell]  7 Ag 2.72-2.98
Ag  0.0000  0.0956  0.7500 [4 per cell]  2 Li 2.57, 1 In 2.72, 2 Ag 2.78
Ag  0.0513  0.3619  0.5890 [8 per cell]  2 Li 2.61-2.88, 4 Ag 2.77-2.92, 1 In 2.84
Ag  0.2366  0.4316  0.3686 [8 per cell]  4 Ag 2.77-3.10, 2 In 2.90-2.98

=====

(20)
LiIn6Ag8 | PBE | relaxed

Summary:
energy relative to the elements: -0.033 eV/atom
magnetic moment: 0.00 μB per cell
crystal system: trigonal

abc: 8.0433 8.0433 5.6823
angles: 90.00 90.00 120.00
Closest atoms and distances in Å follow each position.
Space group P-3 (No. 147)
Asymmetric unit:
Li  0.0000  0.0000  0.0000 [1 per cell]  6 In 3.04, 6 Ag 3.07
In  0.0000  0.3606  0.8375 [6 per cell]  5 Ag 2.86-2.95, 1 In 2.90, 1 Li 3.04
Ag  0.9999  0.2954  0.3432 [6 per cell]  5 In 2.86-2.95, 4 Ag 2.97-2.98, 1 Li 3.07
Ag  0.3333  0.6667  0.4987 [2 per cell]  6 Ag 2.98, 6 In 3.21-3.22